First-principles (PBE-GGA) data for a relaxed structure of Cs2ScAlO4, as listed in the Alexandria database.

Cell and atoms, written as CIF:
```
data_Cs2ScAlO4
_space_group_name_H-M_alt 'F d d d'
_space_group_IT_number 70
_cell_length_a 5.272
_cell_length_b 12.698
_cell_length_c 22.674
_cell_angle_alpha 90.00
_cell_angle_beta 90.00
_cell_angle_gamma 90.00
loop_
_space_group_symop_operation_xyz
'x,y,z'
'-x,-y,-z'
'-x+1/4,-y+1/4,z'
'x+1/4,y+1/4,-z'
'x,-y+1/4,-z+1/4'
'-x,y+1/4,z+1/4'
'-x+1/4,y,-z+1/4'
'x+1/4,-y,z+1/4'
'x,y+1/2,z+1/2'
'-x,-y+1/2,-z+1/2'
'-x+1/4,-y+3/4,z+1/2'
'x+1/4,y+3/4,-z+1/2'
'x,-y+3/4,-z+3/4'
'-x,y+3/4,z+3/4'
'-x+1/4,y+1/2,-z+3/4'
'x+1/4,-y+1/2,z+3/4'
'x+1/2,y,z+1/2'
'-x+1/2,-y,-z+1/2'
'-x+3/4,-y+1/4,z+1/2'
'x+3/4,y+1/4,-z+1/2'
'x+1/2,-y+1/4,-z+3/4'
'-x+1/2,y+1/4,z+3/4'
'-x+3/4,y,-z+3/4'
'x+3/4,-y,z+3/4'
'x+1/2,y+1/2,z'
'-x+1/2,-y+1/2,-z'
'-x+3/4,-y+3/4,z'
'x+3/4,y+3/4,-z'
'x+1/2,-y+3/4,-z+1/4'
'-x+1/2,y+3/4,z+1/4'
'-x+3/4,y+1/2,-z+1/4'
'x+3/4,-y+1/2,z+1/4'
loop_
_atom_site_label
_atom_site_type_symbol
_atom_site_fract_x
_atom_site_fract_y
_atom_site_fract_z
Cs1 Cs 0.125 0.125 0.300
Sc1 Sc 0.125 0.125 0.125
Al1 Al 0.125 0.125 0.625
O1 O 0.100 0.297 0.834
```

=====

# Y4Re3 PBE-GGA relaxed
data_Y4Re3
_space_group_name_H-M_alt 'P 6/m m m'
_space_group_IT_number 191
_space_group_name_Hall '-P 6 2'
_cell_length_a 5.3696
_cell_length_b 5.3696
_cell_length_c 6.1800
_cell_angle_alpha 90.00
_cell_angle_beta 90.00
_cell_angle_gamma 120.00
loop_
_atom_site_label
_atom_site_type_symbol
_atom_site_fract_x
_atom_site_fract_y
_atom_site_fract_z
Y1 Y 0.0000 0.0000 0.2456
Y2 Y 0.3333 0.6667 0.5000
Re1 Re 0.0000 0.5000 0.0000
# **E_form**: 0.10 eV per atom
# **Energy above the lowest structure with this stoichiometry**: 0 meV per atom

=====

# AgBi2Pd4Au2 PBE-GGA relaxed
data_AgBi2Pd4Au2
_space_group_name_H-M_alt 'I 4/m m m'
_space_group_IT_number 139
_space_group_name_Hall '-I 4 2'
_cell_length_a 6.468
_cell_length_b 6.468
_cell_length_c 8.916
_cell_angle_alpha 90.00
_cell_angle_beta 90.00
_cell_angle_gamma 90.00
loop_
_atom_site_label
_atom_site_type_symbol
_atom_site_fract_x
_atom_site_fract_y
_atom_site_fract_z
Ag1 Ag 0.000 0.000 0.000
Bi1 Bi 0.000 0.500 0.250
Pd1 Pd 0.218 0.218 0.500
Au1 Au 0.000 0.000 0.289
# **E_form**: 0.12 eV per atom

=====

# Li2CaAl PBE-GGA relaxed
data_Li2CaAl
_space_group_name_H-M_alt 'I -4 2 d'
_space_group_IT_number 122
_space_group_name_Hall 'I -4 2bw'
_cell_length_a 4.414
_cell_length_b 4.414
_cell_length_c 20.678
_cell_angle_alpha 90.00
_cell_angle_beta 90.00
_cell_angle_gamma 90.00
loop_
_atom_site_label
_atom_site_type_symbol
_atom_site_fract_x
_atom_site_fract_y
_atom_site_fract_z
Li1 Li 0.168 0.250 0.125
Ca1 Ca 0.000 0.000 0.500
Al1 Al 0.000 0.000 0.000
# **E_form**: 0.11 eV per atom

=====

# MnNi2Ru PBE-GGA relaxed
data_MnNi2Ru
_space_group_name_H-M_alt 'R 3 m'
_space_group_IT_number 160
_space_group_name_Hall 'R 3 -2"'
_cell_length_a 2.5817
_cell_length_b 2.5817
_cell_length_c 25.3907
_cell_angle_alpha 90.00
_cell_angle_beta 90.00
_cell_angle_gamma 120.00
loop_
_atom_site_label
_atom_site_type_symbol
_atom_site_fract_x
_atom_site_fract_y
_atom_site_fract_z
Mn1 Mn 0.0000 0.0000 0.0000
Ni1 Ni 0.0000 0.0000 0.1583
Ni2 Ni 0.0000 0.0000 0.7457
Ru1 Ru 0.0000 0.0000 0.9092
# **E_form**: 0.26 eV per atom

=====

# GaTcMoIr PBE-GGA relaxed
data_GaTcMoIr
_space_group_name_H-M_alt 'F -4 3 m'
_space_group_IT_number 216
_space_group_name_Hall 'F -4 2 3'
_cell_length_a 6.195
_cell_length_b 6.195
_cell_length_c 6.195
_cell_angle_alpha 90.00
_cell_angle_beta 90.00
_cell_angle_gamma 90.00
loop_
_atom_site_label
_atom_site_type_symbol
_atom_site_fract_x
_atom_site_fract_y
_atom_site_fract_z
Ga1 Ga 0.000 0.000 0.000
Tc1 Tc 0.250 0.250 0.250
Mo1 Mo 0.000 0.000 0.500
Ir1 Ir 0.250 0.250 0.750
# **E_form**: -0.11 eV per atom

=====

Across the entries above, E takes the values -6.373 -8.927 -4.100 -2.285 -7.243 -8.382 eV per atom, respectively.
Across the entries above, calculated density takes the values 3.52 9.84 11.98 1.33 9.29 12.74 Mg/m³, respectively.
Across the entries above, calculated volume takes the values 1518.0 154.3 373.0 402.8 146.6 237.7 Å³ per cell, respectively.